The following is a DFT calculation (GGA+U) of crystalline FeMoO2 at its relaxed geometry.

Lattice parameters (Å, degrees): 2.8043 2.8043 19.8292 90.00 90.00 120.00
Space group R-3m (No. 166, hexagonal axes)
Inequivalent atoms, fractional coordinates:
Fe: 0.0000 0.0000 0.0000 x3
Mo: 0.0000 0.0000 0.5000 x3
O: 0.0000 0.0000 0.0961 x6

Properties
calculated density = 6.78 Mg/m³
magnetization = 9.09 Bohr magnetons per cell
energy = -0.4685 Ry per atom